Density functional theory data (PBE) for an optimized crystal structure of K2Tl8Cd.

Unit cell a=5.2163 b=5.2163 c=13.1150 alpha=90.00 beta=90.00 gamma=90.00
Space group P4/mmm (No. 123)
Unique sites:
K: 0.0000 0.0000 0.1869
Tl: 0.0000 0.5000 0.0000
Tl: 0.0000 0.5000 0.3686
Tl: 0.5000 0.5000 0.1786
Cd: 0.0000 0.0000 0.5000

Calculated values
For the total DFT energy (no corrections), the calculation gives -22.21 eV per cell. The mass density is 8495 kg/m3. Its energy relative to the elements is -0.168 eV/f.u. The volume is 32.44 Å³/atom.